1.
DFT (PBE-GGA) results for crystalline PuCrGa at its relaxed geometry.

```
data_PuCrGa
_cell_length_a 4.904
_cell_length_b 4.088
_cell_length_c 5.161
_cell_angle_alpha 90.00
_cell_angle_beta 95.80
_cell_angle_gamma 90.00
_symmetry_space_group_name_H-M 'P 1 21/m 1'
_symmetry_Int_Tables_number 11
_symmetry_space_group_name_Hall '-P 2yb'
loop_
_atom_site_label
_atom_site_fract_x
_atom_site_fract_y
_atom_site_fract_z
_atom_site_occupancy
Pu1 0.062 0.250 0.392 1
Cr1 0.439 0.750 0.600 1
Ga1 0.365 0.250 0.904 1
```

Computed properties:
The formation energy comes out at 0.203 eV/atom. The calculated density is 11.800 g cm⁻³.



2.
DFT (PBE-GGA) results for crystalline K3CO at its relaxed geometry.

```
data_K3CO
_cell_length_a 5.219
_cell_length_b 5.219
_cell_length_c 5.219
_cell_angle_alpha 90.00
_cell_angle_beta 90.00
_cell_angle_gamma 90.00
_symmetry_space_group_name_H-M 'P m -3 m'
_symmetry_Int_Tables_number 221
_symmetry_space_group_name_Hall '-P 4 2 3'
loop_
_atom_site_label
_atom_site_fract_x
_atom_site_fract_y
_atom_site_fract_z
_atom_site_occupancy
K1 0.000 0.000 0.500 1
C1 0.500 0.500 0.500 1
O1 0.000 0.000 0.000 1
```

Computed properties:
The calculated density is 1.698 g cm⁻³. The value obtained for the energy above the most stable polymorph in this dataset is 0 meV/atom. For the energy relative to the elements, uncorrected, the calculation gives 0.32 eV per atom.



3.
DFT (PBE-GGA) results for crystalline TaMnPt2 at its relaxed geometry.

```
data_TaMnPt2
_cell_length_a 3.889
_cell_length_b 3.889
_cell_length_c 4.005
_cell_angle_alpha 90.00
_cell_angle_beta 90.00
_cell_angle_gamma 90.00
_symmetry_space_group_name_H-M 'P 4/m m m'
_symmetry_Int_Tables_number 123
_symmetry_space_group_name_Hall '-P 4 2'
loop_
_atom_site_label
_atom_site_fract_x
_atom_site_fract_y
_atom_site_fract_z
_atom_site_occupancy
Ta1 0.000 0.000 0.000 1
Mn1 0.500 0.500 0.000 1
Pt1 0.000 0.500 0.500 1
```

Computed properties:
The formation energy comes out at -0.565 eV/atom. The calculated density is 17.161 g cm⁻³.



4.
DFT (PBE-GGA) results for crystalline BeAs2Ru at its relaxed geometry.

```
data_BeAs2Ru
_cell_length_a 3.790
_cell_length_b 3.790
_cell_length_c 8.033
_cell_angle_alpha 90.00
_cell_angle_beta 90.00
_cell_angle_gamma 90.00
_symmetry_space_group_name_H-M 'I -4 m 2'
_symmetry_Int_Tables_number 119
_symmetry_space_group_name_Hall 'I -4 -2'
loop_
_atom_site_label
_atom_site_fract_x
_atom_site_fract_y
_atom_site_fract_z
_atom_site_occupancy
Be1 0.000 0.000 0.000 1
As1 0.000 0.000 0.500 1
As2 0.000 0.500 0.250 1
Ru1 0.000 0.500 0.750 1
```

Computed properties:
The formation energy comes out at 0.317 eV/atom. The calculated density is 7.481 g cm⁻³.



5.
DFT (PBE-GGA) results for crystalline AgPdPb at its relaxed geometry.

```
data_AgPdPb
_cell_length_a 3.613
_cell_length_b 3.613
_cell_length_c 9.216
_cell_angle_alpha 90.00
_cell_angle_beta 90.00
_cell_angle_gamma 90.00
_symmetry_space_group_name_H-M 'I 4 m m'
_symmetry_Int_Tables_number 107
_symmetry_space_group_name_Hall 'I 4 -2'
loop_
_atom_site_label
_atom_site_fract_x
_atom_site_fract_y
_atom_site_fract_z
_atom_site_occupancy
Ag1 0.000 0.000 0.000 1
Pd1 0.000 0.000 0.654 1
Pb1 0.000 0.000 0.319 1
```

Computed properties:
The formation energy comes out at -0.079 eV/atom. The calculated density is 11.637 g cm⁻³. The value obtained for the energy above the most stable polymorph in this dataset is 40 meV/atom.



6.
DFT (PBE-GGA) results for crystalline Pr3Nd3Sm8 at its relaxed geometry.

```
data_Pr3Nd3Sm8
_cell_length_a 5.791
_cell_length_b 10.982
_cell_length_c 15.472
_cell_angle_alpha 90.00
_cell_angle_beta 90.00
_cell_angle_gamma 90.00
_symmetry_space_group_name_H-M 'I m m m'
_symmetry_Int_Tables_number 71
_symmetry_space_group_name_Hall '-I 2 2'
loop_
_atom_site_label
_atom_site_fract_x
_atom_site_fract_y
_atom_site_fract_z
_atom_site_occupancy
Pr1 0.000 0.000 0.000 1
Pr2 0.000 0.500 0.316 1
Nd1 0.000 0.000 0.500 1
Nd2 0.000 0.302 0.500 1
Sm1 0.000 0.161 0.279 1
Sm2 0.000 0.339 0.103 1
```

Computed properties:
The formation energy comes out at 0.099 eV/atom. The calculated density is 6.947 g cm⁻³. The value obtained for the energy above the most stable polymorph in this dataset is 0 meV/atom.